# 1
Material: Ce6SmTh8
Method: DFT, PBE-GGA
State: relaxed

a = 9.3586 Å, b = 9.3586 Å, c = 6.4317 Å
α = 90.00°, β = 90.00°, γ = 120.00°
Space group P-3 (No. 147)
Asymmetric unit:
Ce1 0.0657 0.6454 0.3744 [6 per cell]
Sm1 0.0000 0.0000 0.5000 [1 per cell]
Th1 0.0064 0.7091 0.8648 [6 per cell]
Th2 0.3333 0.6667 0.8973 [2 per cell]

Properties
ρ = 9.692 g cm⁻³
Formation enthalpy at 0 K = 0.274 eV per atom
DOS(E_F) = 42.100 states/eV/cell
DFT total energy = -6.3711 eV/atom

# 2
Material: Ce2SmTh
Method: DFT, PBE-GGA
State: relaxed

a = 3.486 Å, b = 3.486 Å, c = 9.985 Å
α = 90.00°, β = 90.00°, γ = 90.00°
Space group P4/mmm (No. 123)
Asymmetric unit:
Ce1 0.000 0.000 0.239 [2 per cell]
Sm1 0.500 0.500 0.500 [1 per cell]
Th1 0.500 0.500 0.000 [1 per cell]

Properties
ρ = 9.069 g cm⁻³
Formation enthalpy at 0 K = 0.057 eV per atom
DOS(E_F) = 8.594 states/eV/cell
DFT total energy = -5.9447 eV/atom

# 3
Material: Ce4SmTh15
Method: DFT, PBE-GGA
State: relaxed

a = 4.998 Å, b = 4.998 Å, c = 24.894 Å
α = 90.00°, β = 90.00°, γ = 90.00°
Space group P4/mmm (No. 123)
Asymmetric unit:
Ce1 0.000 0.000 0.099 [2 per cell]
Ce2 0.000 0.000 0.298 [2 per cell]
Sm1 0.000 0.000 0.500 [1 per cell]
Th1 0.000 0.500 0.000 [2 per cell]
Th2 0.000 0.500 0.198 [4 per cell]
Th3 0.000 0.500 0.397 [4 per cell]
Th4 0.500 0.500 0.099 [2 per cell]
Th5 0.500 0.500 0.297 [2 per cell]
Th6 0.500 0.500 0.500 [1 per cell]

Properties
ρ = 11.192 g cm⁻³
Formation enthalpy at 0 K = 0.014 eV per atom
DOS(E_F) = 25.759 states/eV/cell
DFT total energy = -6.9734 eV/atom

# 4
Material: CeSm2Th
Method: DFT, PBE-GGA
State: relaxed

a = 3.4992 Å, b = 3.4992 Å, c = 37.0792 Å
α = 90.00°, β = 90.00°, γ = 120.00°
Space group R-3m (No. 166, hexagonal axes)
Asymmetric unit:
Ce1 0.0000 0.0000 0.0000 [3 per cell]
Sm1 0.0000 0.0000 0.0901 [6 per cell]
Th1 0.0000 0.0000 0.5000 [3 per cell]

Properties
ρ = 8.525 g cm⁻³
Formation enthalpy at 0 K = 0.178 eV per atom
DOS(E_F) = 23.193 states/eV/cell
DFT total energy = -5.5204 eV/atom

# 5
Material: CeSm6Th
Method: DFT, PBE-GGA
State: relaxed

a = 5.080 Å, b = 5.080 Å, c = 20.514 Å
α = 90.00°, β = 90.00°, γ = 90.00°
Space group I4/mmm (No. 139)
Asymmetric unit:
Ce1 0.000 0.000 0.000 [2 per cell]
Sm1 0.000 0.000 0.250 [4 per cell]
Sm2 0.000 0.500 0.121 [8 per cell]
Th1 0.000 0.000 0.500 [2 per cell]

Properties
ρ = 7.993 g cm⁻³
Formation enthalpy at 0 K = 0.049 eV per atom
DOS(E_F) = 25.895 states/eV/cell
DFT total energy = -5.1599 eV/atom

# 6
Material: CeSm2Th3
Method: DFT, PBE-GGA
State: relaxed

a = 10.230 Å, b = 11.247 Å, c = 6.779 Å
α = 90.00°, β = 90.00°, γ = 90.00°
Space group Cmcm (No. 63)
Asymmetric unit:
Ce1 0.000 0.226 0.250 [4 per cell]
Sm1 0.168 0.269 0.750 [8 per cell]
Th1 0.000 0.500 0.000 [4 per cell]
Th2 0.163 0.000 0.000 [8 per cell]

Properties
ρ = 9.682 g cm⁻³
Formation enthalpy at 0 K = 0.212 eV per atom
DOS(E_F) = 44.005 states/eV/cell
DFT total energy = -6.0603 eV/atom

# 7
Material: CeSm2Th
Method: DFT, PBE-GGA
State: relaxed

a = 3.533 Å, b = 3.533 Å, c = 10.402 Å
α = 90.00°, β = 90.00°, γ = 90.00°
Space group P4/mmm (No. 123)
Asymmetric unit:
Ce1 0.000 0.000 0.000 [1 per cell]
Sm1 0.500 0.500 0.252 [2 per cell]
Th1 0.000 0.000 0.500 [1 per cell]

Properties
ρ = 8.606 g cm⁻³
Formation enthalpy at 0 K = 0.093 eV per atom
DOS(E_F) = 7.715 states/eV/cell
DFT total energy = -5.6048 eV/atom

# 8
Material: Ce2SmTh
Method: DFT, PBE-GGA
State: relaxed

a = 3.4459 Å, b = 3.4459 Å, c = 36.2561 Å
α = 90.00°, β = 90.00°, γ = 120.00°
Space group R-3m (No. 166, hexagonal axes)
Asymmetric unit:
Ce1 0.0000 0.0000 0.0887 [6 per cell]
Sm1 0.0000 0.0000 0.0000 [3 per cell]
Th1 0.0000 0.0000 0.5000 [3 per cell]

Properties
ρ = 8.854 g cm⁻³
Formation enthalpy at 0 K = 0.199 eV per atom
DOS(E_F) = 31.491 states/eV/cell
DFT total energy = -5.8031 eV/atom

# 9
Material: Ce2SmTh
Method: DFT, PBE-GGA
State: relaxed

a = 7.923 Å, b = 7.923 Å, c = 7.923 Å
α = 90.00°, β = 90.00°, γ = 90.00°
Space group Fm-3m (No. 225)
Asymmetric unit:
Ce1 0.250 0.250 0.250 [8 per cell]
Sm1 0.000 0.000 0.000 [4 per cell]
Th1 0.000 0.000 0.500 [4 per cell]

Properties
ρ = 8.850 g cm⁻³
Formation enthalpy at 0 K = 0.275 eV per atom
DOS(E_F) = 67.538 states/eV/cell
DFT total energy = -5.7271 eV/atom

# 10
Material: CeSm2Th4
Method: DFT, PBE-GGA
State: relaxed

a = 3.541 Å, b = 36.082 Å, c = 3.538 Å
α = 90.00°, β = 90.00°, γ = 90.00°
Space group Cmmm (No. 65)
Asymmetric unit:
Ce1 0.000 0.000 0.000 [2 per cell]
Sm1 0.000 0.293 0.500 [4 per cell]
Th1 0.000 0.136 0.000 [4 per cell]
Th2 0.000 0.433 0.500 [4 per cell]

Properties
ρ = 10.059 g cm⁻³
Formation enthalpy at 0 K = 0.069 eV per atom
DOS(E_F) = 25.441 states/eV/cell
DFT total energy = -6.3671 eV/atom

# 11
Material: Ce12SmTh7
Method: DFT, PBE-GGA
State: relaxed

a = 11.084 Å, b = 11.084 Å, c = 11.084 Å
α = 90.00°, β = 90.00°, γ = 90.00°
Space group Im-3 (No. 204)
Asymmetric unit:
Ce1 0.000 0.304 0.210 [24 per cell]
Sm1 0.000 0.000 0.000 [2 per cell]
Th1 0.000 0.000 0.500 [6 per cell]
Th2 0.250 0.250 0.250 [8 per cell]

Properties
ρ = 8.430 g cm⁻³
Formation enthalpy at 0 K = 0.807 eV per atom
DOS(E_F) = 145.308 states/eV/cell
DFT total energy = -5.5867 eV/atom

# 12
Material: CeSm2Th2
Method: DFT, PBE-GGA
State: relaxed

a = 3.5597 Å, b = 3.5597 Å, c = 43.4587 Å
α = 90.00°, β = 90.00°, γ = 120.00°
Space group R-3m (No. 166, hexagonal axes)
Asymmetric unit:
Ce1 0.0000 0.0000 0.0000 [3 per cell]
Sm1 0.0000 0.0000 0.2027 [6 per cell]
Th1 0.0000 0.0000 0.3975 [6 per cell]

Properties
ρ = 9.453 g cm⁻³
Formation enthalpy at 0 K = 0.023 eV per atom
DOS(E_F) = 25.244 states/eV/cell
DFT total energy = -6.0193 eV/atom

# 13
Material: CeSmTh2
Method: DFT, PBE-GGA
State: relaxed

a = 3.5546 Å, b = 3.5546 Å, c = 34.6596 Å
α = 90.00°, β = 90.00°, γ = 120.00°
Space group R3m (No. 160, hexagonal axes)
Asymmetric unit:
Ce1 0.0000 0.0000 0.0000 [3 per cell]
Sm1 0.0000 0.0000 0.1694 [3 per cell]
Th1 0.0000 0.0000 0.4151 [3 per cell]
Th2 0.0000 0.0000 0.5866 [3 per cell]

Properties
ρ = 9.911 g cm⁻³
Formation enthalpy at 0 K = 0.049 eV per atom
DOS(E_F) = 19.068 states/eV/cell
DFT total energy = -6.3243 eV/atom